DFT (PBE with a Hubbard U) results for a relaxed PaVZn2O8 crystal.

```
PaVZn2O8
1.0
-2.1199 4.1412 1.0346
-3.7476 -2.4789 1.5870
2.5785 -0.1445 5.8626
O Zn V Pa
8 2 1 1
direct
0.8136 0.1868 0.2179
0.8136 0.1868 0.7821
0.7124 0.7128 0.0000
0.1864 0.8132 0.2179
0.2876 0.2872 0.0000
0.1864 0.8132 0.7821
0.6889 0.6893 0.5000
0.3111 0.3107 0.5000
0.5000 0.5000 0.2358
0.5000 0.5000 0.7642
0.0000 0.0000 0.0000
0.0000 0.0000 0.5000
```

Properties
DOS(E_F) = 8.86 states/eV/cell
DFT total energy = -81.19 eV per cell
Space-group type = Cmmm, No. 65